Entry w
VASP calculation (PBE) on crystalline AcHo2Tl at its relaxed geometry. Values from VASP.

Results
The value obtained for the spin magnetization is 1.2 μB/cell. As for the crystal system: cubic. The symmetry is Fm-3m, No. 225.

Structure (Quantum ESPRESSO input):
```
&SYSTEM
  ibrav = 0, nat = 4, ntyp = 3
/
ATOMIC_SPECIES
Ho 164.93 Ho.upf
Tl 204.38 Tl.upf
Ac 227.00 Ac.upf
CELL_PARAMETERS angstrom
5.6124 0.0000 0.0000
2.8062 4.8605 0.0000
2.8062 1.6202 4.5825
ATOMIC_POSITIONS angstrom
Ho 2.8062 1.6202 1.1456
Tl 5.6124 3.2403 2.2913
Ho 8.4187 4.8605 3.4369
Ac 0.0000 0.0000 0.0000
```

Entry x
VASP calculation (PBE) on crystalline AcHo2Tl at its relaxed geometry. Values from VASP.

Results
The value obtained for the spin magnetization is 0.9 μB/cell. As for the crystal system: tetragonal. The symmetry is P4/mmm, No. 123.

Structure (Quantum ESPRESSO input):
```
&SYSTEM
  ibrav = 0, nat = 4, ntyp = 3
/
ATOMIC_SPECIES
Tl 204.38 Tl.upf
Ho 164.93 Ho.upf
Ac 227.00 Ac.upf
CELL_PARAMETERS angstrom
-1.3651 4.3869 1.9610
-0.4186 -2.1610 4.5429
4.8378 1.0772 0.9581
ATOMIC_POSITIONS angstrom
Tl -0.6826 2.1935 0.9805
Ho -0.2093 -1.0805 2.2715
Ac 1.5271 1.6516 3.7310
Ho 2.4189 0.5386 0.4791
```

Need the numbers? Relative energies in kJ/mol of atoms: entry w 15.8; entry x 0.0.